--- a ---
Crystalline YSc at its relaxed geometry. Source: Alexandria via LeMat-Bulk, functional PBE.

## Properties
Calculated volume: 29.882 Å³/atom
Crystal system: tetragonal
Magnetic moment: 0.00 μB per cell

Geometry as POSCAR:
```
YSc
1.0
-5.9657 5.9657 1.6793
5.9657 -5.9657 1.6793
5.9657 5.9657 -1.6793
Y Sc
4 4
Direct
0.1203 0.8234 0.9437 Y
0.1766 0.1203 0.2969 Y
0.8234 0.8797 0.7031 Y
0.8797 0.1766 0.0563 Y
0.0808 0.3685 0.4492 Sc
0.3685 0.9192 0.2877 Sc
0.6315 0.0808 0.7123 Sc
0.9192 0.6315 0.5508 Sc
```

***

--- b ---
Crystalline YSc at its relaxed geometry. Source: Alexandria via LeMat-Bulk, functional PBE.

## Properties
Calculated volume: 28.457 Å³/atom
Crystal system: orthorhombic
Magnetic moment: 0.01 μB per cell

Geometry as POSCAR:
```
YSc
1.0
5.4083 0.0000 0.0000
0.0000 3.4922 0.0000
0.0000 0.0000 6.0268
Y Sc
2 2
Direct
0.2500 0.0000 0.1748 Y
0.7500 0.0000 0.8252 Y
0.2500 0.5000 0.6611 Sc
0.7500 0.5000 0.3389 Sc
```

***

If you had to name the least stable structure above, which would it be? It would be a.